Entry 1:
VASP calculation (PBE) on crystalline LaPr14Hg at its relaxed geometry.

The theoretical density is 6.88 g/cm3. The calculation puts the formation enthalpy at 0 K at -30.9 meV/atom.

Unit cell a=10.4353 b=10.3298 c=10.3500 alpha=90.00 beta=90.00 gamma=90.00
Last column: nearest neighbours and their distance in Å.
Space group Amm2 (No. 38)
Symmetry-distinct sites (fractional):
La1 0.0000 0.0000 0.0000 (multiplicity 2)  12 Pr 3.56-3.76
Pr1 0.0000 0.2296 0.7437 (multiplicity 4)  2 Hg 3.46-3.85, 2 La 3.56-3.76, 8 Pr 3.58-3.70
Pr2 0.2299 0.0000 0.2580 (multiplicity 4)  1 Hg 3.47, 10 Pr 3.58-3.84, 1 La 3.59
Pr3 0.2442 0.2463 0.5015 (multiplicity 8)  10 Pr 3.58-3.74, 1 Hg 3.60, 1 La 3.66
Pr4 0.2608 0.0000 0.7501 (multiplicity 4)  10 Pr 3.61-3.70, 1 Hg 3.75, 1 La 3.75
Pr5 0.5000 0.0000 0.0064 (multiplicity 2)  12 Pr 3.56-3.84
Pr6 0.5000 0.0000 0.4987 (multiplicity 2)  12 Pr 3.56-3.76
Pr7 0.5000 0.2408 0.2521 (multiplicity 4)  12 Pr 3.56-3.76
Hg1 0.0000 0.0000 0.5003 (multiplicity 2)  12 Pr 3.46-3.85

=====

Entry 2:
VASP calculation (PBE) on crystalline LaPr4Hg2 at its relaxed geometry.

The theoretical density is 8.12 g/cm3. The calculation puts the formation enthalpy at 0 K at -177.6 meV/atom.

Unit cell a=6.3913 b=8.4657 c=9.1903 alpha=98.51 beta=103.72 gamma=106.15
Last column: nearest neighbours and their distance in Å.
Space group P1 (No. 1)
Symmetry-distinct sites (fractional):
La1 0.0000 0.0000 0.0000 (multiplicity 1)  1 Hg 3.25, 4 Pr 3.47-3.58
La2 0.3770 0.8958 0.3086 (multiplicity 1)  2 Hg 3.38-3.61, 6 Pr 3.54-3.70, 1 La 3.65
Pr1 0.1631 0.4465 0.1222 (multiplicity 1)  2 Hg 3.21-3.39, 1 Pr 3.42, 1 La 3.55
Pr2 0.3457 0.7256 0.8647 (multiplicity 1)  4 Hg 3.19-3.41
Pr3 0.5481 0.2106 0.9962 (multiplicity 1)  3 Hg 3.31-3.59, 1 La 3.47, 3 Pr 3.53-3.68
Pr4 0.5568 0.3547 0.3894 (multiplicity 1)  2 Hg 3.35-3.40, 7 Pr 3.42-3.62, 1 La 3.64
Pr5 0.7295 0.7638 0.6132 (multiplicity 1)  2 Hg 3.20-3.28, 2 Pr 3.48-3.59, 1 La 3.56
Pr6 0.7843 0.6936 0.2313 (multiplicity 1)  2 Hg 3.19-3.25, 1 Pr 3.52, 1 La 3.54
Pr7 0.8379 0.2367 0.7140 (multiplicity 1)  4 Hg 3.21-3.59, 3 Pr 3.43-3.53
Pr8 0.9793 0.1515 0.3800 (multiplicity 1)  3 Hg 3.27-3.42, 4 Pr 3.43-3.66, 1 La 3.58
Hg1 0.1152 0.5645 0.4786 (multiplicity 1)  2 Hg 3.22-3.39, 5 Pr 3.25-3.41
Hg2 0.2580 0.9795 0.6452 (multiplicity 1)  2 Hg 3.13-3.39, 4 Pr 3.23-3.42, 1 La 3.38
Hg3 0.3640 0.3716 0.7038 (multiplicity 1)  3 Hg 3.00-3.22, 4 Pr 3.19-3.31
Hg4 0.8347 0.5900 0.8968 (multiplicity 1)  1 Hg 3.00, 5 Pr 3.19-3.25, 1 La 3.25

=====

Entry 3:
VASP calculation (PBE) on crystalline La2Pr5Hg4 at its relaxed geometry.

The theoretical density is 8.40 g/cm3. The calculation puts the formation enthalpy at 0 K at -96.9 meV/atom.

Unit cell a=23.5569 b=3.7193 c=8.4896 alpha=90.00 beta=108.49 gamma=90.00
Last column: nearest neighbours and their distance in Å.
Space group C2/m (No. 12)
Symmetry-distinct sites (fractional):
La1 0.2357 0.0000 0.3088 (multiplicity 4)  2 Pr 3.30-3.52, 1 Hg 3.32, 2 La 3.61
Pr1 0.0000 0.0000 0.5000 (multiplicity 2)  4 Hg 3.22, 4 Pr 3.60
Pr2 0.1237 0.5000 0.4489 (multiplicity 4)  1 La 3.30, 3 Hg 3.30-3.34, 2 Pr 3.60
Pr3 0.1625 0.5000 0.9175 (multiplicity 4)  3 Hg 3.30-3.31, 1 La 3.52
Hg1 0.0149 0.5000 0.8204 (multiplicity 4)  5 Hg 3.14-3.34, 4 Pr 3.22-3.34
Hg2 0.0896 0.0000 0.1106 (multiplicity 4)  4 Hg 3.14-3.28, 4 Pr 3.30, 1 La 3.32

=====

Entry 4:
VASP calculation (PBE) on crystalline La2Pr3Hg2 at its relaxed geometry.

The theoretical density is 7.81 g/cm3. The calculation puts the formation enthalpy at 0 K at -198.8 meV/atom.

Unit cell a=12.3594 b=4.8077 c=8.5335 alpha=90.00 beta=112.42 gamma=90.00
Last column: nearest neighbours and their distance in Å.
Space group C2/m (No. 12)
Symmetry-distinct sites (fractional):
La1 0.1405 0.0000 0.2966 (multiplicity 4)  4 Hg 3.41-3.64, 4 Pr 3.70-3.76
Pr1 0.0000 0.5000 0.5000 (multiplicity 2)  4 Hg 3.14
Pr2 0.1278 0.5000 0.9607 (multiplicity 4)  3 Hg 3.10-3.35, 1 Pr 3.47
Hg1 0.1535 0.0000 0.7032 (multiplicity 4)  5 Pr 3.10-3.35, 1 La 3.41

=====

Entry 5:
VASP calculation (PBE) on crystalline La4PrHg at its relaxed geometry.

The theoretical density is 7.26 g/cm3. The calculation puts the formation enthalpy at 0 K at -72.9 meV/atom.

Unit cell a=5.8282 b=21.2745 c=6.6240 alpha=90.00 beta=90.00 gamma=90.00
Last column: nearest neighbours and their distance in Å.
Space group Cmc2_1 (No. 36)
Symmetry-distinct sites (fractional):
La1 0.0000 0.0416 0.0000 (multiplicity 4)  2 Hg 3.23, 1 La 3.31
La2 0.0000 0.1886 0.8389 (multiplicity 4)  4 La 3.08-3.31, 1 Hg 3.15
La3 0.0000 0.2548 0.2530 (multiplicity 4)  3 La 3.08-3.20, 1 Hg 3.34
La4 0.0000 0.4395 0.1829 (multiplicity 4)  2 Hg 3.49, 2 Pr 3.58-3.73, 4 La 3.61-3.83
Pr1 0.0000 0.3671 0.6956 (multiplicity 4)  2 Hg 3.37, 4 La 3.58-3.73
Hg1 0.0000 0.1088 0.4378 (multiplicity 4)  6 La 3.15-3.49, 2 Pr 3.37

=====

Entry 6:
VASP calculation (PBE) on crystalline La2PrHg at its relaxed geometry.

The theoretical density is 7.45 g/cm3. The calculation puts the formation enthalpy at 0 K at -146.2 meV/atom.

Unit cell a=3.7976 b=3.7976 c=33.1426 alpha=90.00 beta=90.00 gamma=120.00
Last column: nearest neighbours and their distance in Å.
Space group R3m (No. 160, hexagonal axes)
Symmetry-distinct sites (fractional):
La1 0.0000 0.0000 0.0000 (multiplicity 3)  3 Hg 3.34
La2 0.0000 0.0000 0.1822 (multiplicity 3)  3 Hg 3.32, 3 Pr 3.72
Pr1 0.0000 0.0000 0.7582 (multiplicity 3)  6 La 3.72-3.74, 6 Pr 3.80
Hg1 0.0000 0.0000 0.5908 (multiplicity 3)  6 La 3.32-3.34

=====

Entry 7:
VASP calculation (PBE) on crystalline LaPr3Hg at its relaxed geometry.

The theoretical density is 7.32 g/cm3. The calculation puts the formation enthalpy at 0 K at -67.3 meV/atom.

Unit cell a=3.8726 b=12.2837 c=7.5257 alpha=90.00 beta=104.87 gamma=90.00
Last column: nearest neighbours and their distance in Å.
Space group Pm (No. 6)
Symmetry-distinct sites (fractional):
La1 0.0000 0.0000 0.0000 (multiplicity 1)  4 Hg 3.46, 1 Pr 3.81, 2 La 3.87
La2 0.3415 0.5000 0.6810 (multiplicity 1)  8 Pr 3.34-3.47
Pr1 0.2939 0.2259 0.5884 (multiplicity 2)  2 Hg 3.38-3.39, 1 La 3.43, 4 Pr 3.48-3.72
Pr2 0.6524 0.5000 0.3065 (multiplicity 1)  2 La 3.34-3.35, 4 Pr 3.63
Pr3 0.7394 0.0000 0.4757 (multiplicity 1)  2 Hg 3.11, 2 Pr 3.48
Pr4 0.9879 0.3445 0.9764 (multiplicity 2)  2 Hg 3.14, 2 La 3.46-3.47
Hg1 0.6041 0.1979 0.2100 (multiplicity 2)  5 Pr 3.11-3.39, 2 La 3.46

=====

Entry 8:
VASP calculation (PBE) on crystalline La5PrHg3 at its relaxed geometry.

The theoretical density is 8.41 g/cm3. The calculation puts the formation enthalpy at 0 K at -294.3 meV/atom.

Unit cell a=9.5464 b=9.5464 c=7.1872 alpha=90.00 beta=90.00 gamma=120.00
Last column: nearest neighbours and their distance in Å.
Space group P6_3/mcm (No. 193)
Symmetry-distinct sites (fractional):
La1 0.0000 0.3342 0.2500 (multiplicity 6)  3 Hg 3.18-3.20
La2 0.3333 0.6667 0.0000 (multiplicity 4)  8 La 3.59-3.65, 6 Hg 3.66
Pr1 0.0000 0.0000 0.0000 (multiplicity 2)  2 Pr 3.59, 6 Hg 3.64, 6 La 3.66
Hg1 0.0000 0.3311 0.7500 (multiplicity 6)  3 La 3.18-3.20

=====

Entry 9:
VASP calculation (PBE) on crystalline La5PrHg at its relaxed geometry.

The theoretical density is 7.14 g/cm3. The calculation puts the formation enthalpy at 0 K at -5.9 meV/atom.

Unit cell a=14.5734 b=6.7314 c=11.8901 alpha=90.00 beta=124.33 gamma=90.00
Last column: nearest neighbours and their distance in Å.
Space group C2/c (No. 15)
Symmetry-distinct sites (fractional):
La1 0.0000 0.0118 0.2500 (multiplicity 4)  2 Pr 3.22-3.51, 4 La 3.46-3.55, 2 Hg 3.53
La2 0.0647 0.2495 0.5533 (multiplicity 8)  1 Hg 3.10, 3 La 3.30-3.46, 1 Pr 3.45
La3 0.2095 0.2478 0.1238 (multiplicity 8)  2 La 3.30-3.36
Pr1 0.0000 0.4897 0.2500 (multiplicity 4)  6 La 3.22-3.56, 2 Hg 3.54
Hg1 0.2500 0.2500 0.5000 (multiplicity 4)  2 La 3.10

=====

Entry 10:
VASP calculation (PBE) on crystalline LaPr6Hg at its relaxed geometry.

The theoretical density is 7.28 g/cm3. The calculation puts the formation enthalpy at 0 K at -66.5 meV/atom.

Unit cell a=5.0491 b=5.0491 c=21.2007 alpha=90.00 beta=90.00 gamma=90.00
Last column: nearest neighbours and their distance in Å.
Space group I4/mmm (No. 139)
Symmetry-distinct sites (fractional):
La1 0.0000 0.0000 0.0000 (multiplicity 2)  4 Hg 3.57, 8 Pr 3.61
Pr1 0.0000 0.0000 0.2484 (multiplicity 4)  12 Pr 3.57-3.73
Pr2 0.0000 0.5000 0.1217 (multiplicity 8)  8 Pr 3.57-3.73, 2 Hg 3.61, 2 La 3.61
Hg1 0.0000 0.0000 0.5000 (multiplicity 2)  4 La 3.57, 8 Pr 3.61

=====

Entry 11:
VASP calculation (PBE) on crystalline LaPr2Hg2 at its relaxed geometry.

The theoretical density is 8.90 g/cm3. The calculation puts the formation enthalpy at 0 K at -297.9 meV/atom.

Unit cell a=6.4177 b=6.8627 c=7.6300 alpha=73.95 beta=72.69 gamma=79.89
Last column: nearest neighbours and their distance in Å.
Space group P-1 (No. 2)
Symmetry-distinct sites (fractional):
La1 0.0026 0.0109 0.2428 (multiplicity 2)  4 Hg 3.29-3.33, 1 Pr 3.63
Pr1 0.4305 0.2470 0.8308 (multiplicity 2)  5 Hg 3.35-3.62, 2 Pr 3.55-3.75, 2 La 3.70-3.71
Pr2 0.4381 0.2410 0.3294 (multiplicity 2)  5 Hg 3.34-3.69, 2 Pr 3.55-3.73, 2 La 3.63-3.74
Hg1 0.1528 0.5965 0.0699 (multiplicity 2)  2 Hg 3.09-3.11, 2 La 3.30-3.33, 4 Pr 3.34-3.44
Hg2 0.1577 0.6061 0.5517 (multiplicity 2)  2 Hg 3.08-3.09, 2 La 3.29-3.33, 4 Pr 3.35-3.40

=====

Entry 12:
VASP calculation (PBE) on crystalline LaPr4Hg2 at its relaxed geometry.

The theoretical density is 8.07 g/cm3. The calculation puts the formation enthalpy at 0 K at -190.8 meV/atom.

Unit cell a=16.8067 b=5.5660 c=10.0371 alpha=90.00 beta=104.66 gamma=90.00
Last column: nearest neighbours and their distance in Å.
Space group C2/m (No. 12)
Symmetry-distinct sites (fractional):
La1 0.0994 0.0000 0.0706 (multiplicity 4)  1 La 3.28, 2 Hg 3.38, 3 Pr 3.47-3.62
Pr1 0.0347 0.0000 0.6840 (multiplicity 4)  4 Hg 3.25-3.51, 1 Pr 3.58
Pr2 0.1306 0.5000 0.3399 (multiplicity 4)  4 Hg 3.20-3.29, 2 Pr 3.48
Pr3 0.1918 0.5000 0.6981 (multiplicity 4)  4 Hg 3.36-3.44, 3 Pr 3.48-3.53, 1 La 3.69
Pr4 0.2388 0.5000 0.0867 (multiplicity 4)  5 Pr 3.35-3.53, 1 Hg 3.40, 3 La 3.47-3.62
Hg1 0.0453 0.5000 0.8774 (multiplicity 4)  5 Pr 3.20-3.40, 1 Hg 3.20, 2 La 3.38
Hg2 0.1718 0.0000 0.5057 (multiplicity 4)  8 Pr 3.23-3.51